1.
# NaNdTiNbO6F

A crystal of NaNdTiNbO6F relaxed with PBEsol (SCAN, the Alexandria database).

The uncorrected formation energy is -3.225 eV per atom. The density of states at the Fermi level comes out at 0.00 states/eV/f.u. The offset from the most stable computed form comes out at 0.0 meV per atom.

The space group is P4_122 (No. 91) and the conventional cell measures 7.2958, 7.2958 and 10.3669 Å, with angles of 90.00, 90.00 and 90.00 degrees. The distinct sites, in fractional coordinates, are Na at (0.0000, 0.2216, 0.0000), Nd at (0.2295, 0.5000, 0.7500), Ti at (0.2643, 0.5000, 0.2500), Nb at (0.0000, 0.2584, 0.5000), O at (0.0573, 0.4481, 0.3672), O at (0.0612, 0.0612, 0.3750), O at (0.2521, 0.2734, 0.5724), O at (0.4608, 0.4608, 0.3750) and F at (0.2409, 0.2409, 0.8750).

2.
# CaCd2Pb

A crystal of CaCd2Pb relaxed with PBEsol (SCAN, the Alexandria database).

Its electronic total energy is -295.20 eV per cell. The density of states at the Fermi level comes out at 1.51 states/eV/f.u.

The space group is I4/mmm (No. 139) and the conventional cell measures 4.5826, 4.5826 and 9.4813 Å, with angles of 90.00, 90.00 and 90.00 degrees. The distinct sites, in fractional coordinates, are Ca at (0.0000, 0.0000, 0.0000), Cd at (0.0000, 0.5000, 0.2500) and Pb at (0.0000, 0.0000, 0.5000).

3.
# ScOsCl4

A crystal of ScOsCl4 relaxed with PBEsol (SCAN, the Alexandria database).

The uncorrected formation energy is 0.936 eV per atom. The density of states at the Fermi level comes out at 7.10 states/eV/f.u.

The space group is F-43m (No. 216) and the conventional cell measures 7.7732, 7.7732 and 7.7732 Å, with angles of 90.00, 90.00 and 90.00 degrees. The distinct sites, in fractional coordinates, are Sc at (0.0000, 0.0000, 0.0000), Os at (0.2500, 0.2500, 0.2500) and Cl at (0.1245, 0.1245, 0.6245).

4.
# YPb

A crystal of YPb relaxed with PBEsol (SCAN, the Alexandria database).

Its electronic total energy is -420.15 eV per cell. The density of states at the Fermi level comes out at 0.75 states/eV/f.u.

The space group is Pnma (No. 62) and the conventional cell measures 6.3287, 5.4521 and 6.3161 Å, with angles of 90.00, 90.00 and 90.00 degrees. The distinct sites, in fractional coordinates, are Y at (0.1374, 0.2500, 0.1352) and Pb at (0.1152, 0.2500, 0.6457).

5.
# MgZrPb2

A crystal of MgZrPb2 relaxed with PBEsol (SCAN, the Alexandria database).

Its electronic total energy is -376.63 eV per cell. The density of states at the Fermi level comes out at 1.51 states/eV/f.u.

The space group is I-4m2 (No. 119) and the conventional cell measures 4.2784, 4.2784 and 10.1647 Å, with angles of 90.00, 90.00 and 90.00 degrees. The distinct sites, in fractional coordinates, are Mg at (0.0000, 0.0000, 0.0000), Zr at (0.0000, 0.5000, 0.7500), Pb at (0.0000, 0.0000, 0.5000) and Pb at (0.0000, 0.5000, 0.2500).

6.
# LiFeCu2

A crystal of LiFeCu2 relaxed with PBEsol (SCAN, the Alexandria database).

Its electronic total energy is -50.53 eV per cell. The density of states at the Fermi level comes out at 2.38 states/eV/f.u.

The space group is P2/m (No. 10) and the conventional cell measures 2.4303, 3.6866 and 5.1550 Å, with angles of 90.00, 90.12 and 90.00 degrees. The distinct sites, in fractional coordinates, are Li at (0.0000, 0.0000, 0.0000), Fe at (0.0000, 0.0000, 0.5000) and Cu at (0.4991, 0.5000, 0.2577).

7.
# AgHgTe2

A crystal of AgHgTe2 relaxed with PBEsol (SCAN, the Alexandria database).

The uncorrected formation energy is -0.053 eV per atom. The density of states at the Fermi level comes out at 2.37 states/eV/f.u.

The space group is I-42d (No. 122) and the conventional cell measures 6.3345, 6.3345 and 12.6774 Å, with angles of 90.00, 90.00 and 90.00 degrees. The distinct sites, in fractional coordinates, are Ag at (0.0000, 0.0000, 0.0000), Hg at (0.0000, 0.0000, 0.5000) and Te at (0.2357, 0.2500, 0.1250).

8.
# AgSb3N

A crystal of AgSb3N relaxed with PBEsol (SCAN, the Alexandria database).

The uncorrected formation energy is 1.603 eV per atom. The density of states at the Fermi level comes out at 3.11 states/eV/f.u. The offset from the most stable computed form comes out at 884.6 meV per atom.

The space group is Pm-3m (No. 221) and the conventional cell measures 5.2991, 5.2991 and 5.2991 Å, with angles of 90.00, 90.00 and 90.00 degrees. The distinct sites, in fractional coordinates, are Ag at (0.0000, 0.0000, 0.0000), Sb at (0.0000, 0.0000, 0.5000) and N at (0.5000, 0.5000, 0.5000).

9.
# YTa2Sb

A crystal of YTa2Sb relaxed with PBEsol (SCAN, the Alexandria database).

The uncorrected formation energy is -0.041 eV per atom. The density of states at the Fermi level comes out at 3.49 states/eV/f.u.

The space group is Pm (No. 6) and the conventional cell measures 3.4831, 4.5221 and 5.6855 Å, with angles of 90.00, 107.68 and 90.00 degrees. The distinct sites, in fractional coordinates, are Y at (0.0000, 0.0000, 0.0000), Ta at (0.2869, 0.5000, 0.5780), Ta at (0.7394, 0.0000, 0.4834) and Sb at (0.5757, 0.5000, 0.1528).

10.
# KSiTe2

A crystal of KSiTe2 relaxed with PBEsol (SCAN, the Alexandria database).

The uncorrected formation energy is 0.121 eV per atom. The density of states at the Fermi level comes out at 1.30 states/eV/f.u.

The space group is I4/mmm (No. 139) and the conventional cell measures 5.0668, 5.0668 and 8.3940 Å, with angles of 90.00, 90.00 and 90.00 degrees. The distinct sites, in fractional coordinates, are K at (0.0000, 0.0000, 0.0000), Si at (0.0000, 0.0000, 0.5000) and Te at (0.0000, 0.5000, 0.2500).

11.
# Pd

A crystal of Pd relaxed with PBEsol (SCAN, the Alexandria database).

The density of states at the Fermi level comes out at 1.15 states/eV/f.u. The offset from the most stable computed form comes out at 53.3 meV per atom.

The space group is Im-3m (No. 229) and the conventional cell measures 3.0788, 3.0788 and 3.0788 Å, with angles of 90.00, 90.00 and 90.00 degrees. The distinct sites, in fractional coordinates, are Pd at (0.0000, 0.0000, 0.0000).

12.
# MgZrRe2

A crystal of MgZrRe2 relaxed with PBEsol (SCAN, the Alexandria database).

Its electronic total energy is -709.97 eV per cell. The density of states at the Fermi level comes out at 3.14 states/eV/f.u.

The space group is F-43m (No. 216) and the conventional cell measures 6.4056, 6.4056 and 6.4056 Å, with angles of 90.00, 90.00 and 90.00 degrees. The distinct sites, in fractional coordinates, are Mg at (0.0000, 0.0000, 0.0000), Zr at (0.2500, 0.2500, 0.7500), Re at (0.0000, 0.0000, 0.5000) and Re at (0.2500, 0.2500, 0.2500).

13.
# MgAlIn2

A crystal of MgAlIn2 relaxed with PBEsol (SCAN, the Alexandria database).

Its electronic total energy is -79.38 eV per cell. The density of states at the Fermi level comes out at 1.56 states/eV/f.u.

The space group is Pmm2 (No. 25) and the conventional cell measures 3.2081, 4.4086 and 6.2303 Å, with angles of 90.00, 90.00 and 90.00 degrees. The distinct sites, in fractional coordinates, are Mg at (0.0000, 0.0000, 0.0000), Al at (0.5000, 0.5000, 0.2394), In at (0.0000, 0.0000, 0.4787) and In at (0.5000, 0.5000, 0.7561).

14.
# MgTlTc

A crystal of MgTlTc relaxed with PBEsol (SCAN, the Alexandria database).

Its electronic total energy is -441.24 eV per cell. The density of states at the Fermi level comes out at 2.43 states/eV/f.u.

The space group is F-43m (No. 216) and the conventional cell measures 6.4017, 6.4017 and 6.4017 Å, with angles of 90.00, 90.00 and 90.00 degrees. The distinct sites, in fractional coordinates, are Mg at (0.0000, 0.0000, 0.0000), Tl at (0.0000, 0.0000, 0.5000) and Tc at (0.2500, 0.2500, 0.2500).

15.
# Sr2Ti2Be

A crystal of Sr2Ti2Be relaxed with PBEsol (SCAN, the Alexandria database).

Its electronic total energy is -155.22 eV per cell. The density of states at the Fermi level comes out at 5.40 states/eV/f.u.

The space group is I4/mmm (No. 139) and the conventional cell measures 3.6213, 3.6213 and 19.9106 Å, with angles of 90.00, 90.00 and 90.00 degrees. The distinct sites, in fractional coordinates, are Sr at (0.0000, 0.0000, 0.0935), Ti at (0.0000, 0.5000, 0.2500) and Be at (0.0000, 0.0000, 0.5000).

16.
# CaInAg2

A crystal of CaInAg2 relaxed with PBEsol (SCAN, the Alexandria database).

Its electronic total energy is -213.39 eV per cell. The density of states at the Fermi level comes out at 1.28 states/eV/f.u.

The space group is Imm2 (No. 44) and the conventional cell measures 4.4654, 4.4795 and 8.3186 Å, with angles of 90.00, 90.00 and 90.00 degrees. The distinct sites, in fractional coordinates, are Ca at (0.0000, 0.0000, 0.0000), In at (0.0000, 0.5000, 0.7503), Ag at (0.0000, 0.0000, 0.5001) and Ag at (0.0000, 0.5000, 0.2498).

17.
# KTlBr4

A crystal of KTlBr4 relaxed with PBEsol (SCAN, the Alexandria database).

The uncorrected formation energy is -1.015 eV per atom. The density of states at the Fermi level comes out at 0.00 states/eV/f.u.

The space group is Pnna (No. 52) and the conventional cell measures 7.9623, 10.1734 and 10.3557 Å, with angles of 90.00, 90.00 and 90.00 degrees. The distinct sites, in fractional coordinates, are K at (0.1786, 0.2500, 0.2500), Tl at (0.2500, 0.0000, 0.6762), Br at (0.0065, 0.5470, 0.3250) and Br at (0.1388, 0.6958, 0.9589).

18.
# La2YPb

A crystal of La2YPb relaxed with PBEsol (SCAN, the Alexandria database).

Its electronic total energy is -191.71 eV per cell. The density of states at the Fermi level comes out at 3.34 states/eV/f.u.

The space group is P4/mmm (No. 123) and the conventional cell measures 4.3204, 4.3204 and 6.7498 Å, with angles of 90.00, 90.00 and 90.00 degrees. The distinct sites, in fractional coordinates, are La at (0.0000, 0.0000, 0.2284), Y at (0.5000, 0.5000, 0.5000) and Pb at (0.5000, 0.5000, 0.0000).

19.
# Sr3PW

A crystal of Sr3PW relaxed with PBEsol (SCAN, the Alexandria database).

Its electronic total energy is -141.42 eV per cell. The density of states at the Fermi level comes out at 5.64 states/eV/f.u.

The space group is Pm-3m (No. 221) and the conventional cell measures 5.5079, 5.5079 and 5.5079 Å, with angles of 90.00, 90.00 and 90.00 degrees. The distinct sites, in fractional coordinates, are Sr at (0.0000, 0.0000, 0.5000), P at (0.5000, 0.5000, 0.5000) and W at (0.0000, 0.0000, 0.0000).

20.
# Na3SrSn

A crystal of Na3SrSn relaxed with PBEsol (SCAN, the Alexandria database).

The density of states at the Fermi level comes out at 1.80 states/eV/f.u. The offset from the most stable computed form comes out at 0.0 meV per atom.

The space group is Pm-3m (No. 221) and the conventional cell measures 5.8352, 5.8352 and 5.8352 Å, with angles of 90.00, 90.00 and 90.00 degrees. The distinct sites, in fractional coordinates, are Na at (0.0000, 0.0000, 0.5000), Sr at (0.5000, 0.5000, 0.5000) and Sn at (0.0000, 0.0000, 0.0000).